DFT (PBE) results for crystalline UGaS at its relaxed geometry.

Cell lengths 5.0337, 16.5588, 3.5233 Å; angles 90.00, 90.00, 90.00 degrees
Space group Cmcm (No. 63)
One atom of each set of equivalent atoms:
U: 0.0000 0.0585 0.2500
Ga: 0.0000 0.4400 0.2500
S: 0.0000 0.1718 0.7500



DFT (PBE) results for crystalline PmPuBr at its relaxed geometry.

Cell lengths 21.3069, 4.1309, 7.9540 Å; angles 90.00, 102.66, 90.00 degrees
Space group C2/m (No. 12)
One atom of each set of equivalent atoms:
Pm: 0.1047 0.0000 0.4271
Pm: 0.1759 0.0000 0.9835
Pu: 0.2163 0.5000 0.6667
Pu: 0.2269 0.5000 0.3593
Br: 0.0454 0.0000 0.7233
Br: 0.0885 0.5000 0.1312



Number 1: formation energy without anion corrections -0.535 eV per atom. Number 2: formation energy without anion corrections -0.666 eV per atom.